Record 1
The following is a GGA-PBE calculation of a relaxed Ce3HfB2N6 crystal, from Alexandria via LeMat-Bulk.

POSCAR file:
```
Ce3HfB2N6
1.0
5.471 0.000 0.000
-2.736 4.738 0.000
0.000 0.000 6.336
Ce Hf B N
3 1 2 6
Direct
0.000 0.000 0.000
0.333 0.667 0.662
0.667 0.333 0.338
0.000 0.000 0.500
0.333 0.667 0.254
0.667 0.333 0.746
0.180 0.360 0.289
0.180 0.820 0.289
0.360 0.180 0.711
0.640 0.820 0.289
0.820 0.180 0.711
0.820 0.640 0.711
```

Computed properties:
Final energy = -8.820 eV/atom
ΔE_f (raw) = -1425 kJ/mol of formula units
N(E_F) = 17.09 states/eV/cell
Calculated density = 7.12 g cm⁻³
V = 164 Å³/cell

Record 2
The following is a GGA-PBE calculation of a relaxed TmZrI crystal, from Alexandria via LeMat-Bulk.

POSCAR file:
```
TmZrI
1.0
11.138 0.000 0.000
0.000 3.589 0.000
-0.744 0.000 8.372
Tm Zr I
4 4 4
Direct
0.070 0.000 0.213
0.430 0.500 0.787
0.570 0.500 0.213
0.930 0.000 0.787
0.132 0.500 0.536
0.368 0.000 0.464
0.632 0.000 0.536
0.868 0.500 0.464
0.202 0.000 0.818
0.298 0.500 0.182
0.702 0.500 0.818
0.798 0.000 0.182
```

Computed properties:
Final energy = -5.135 eV/atom
ΔE_f (raw) = -80 kJ/mol of formula units
N(E_F) = 3.78 states/eV/cell
Calculated density = 7.68 g cm⁻³
V = 335 Å³/cell

Record 3
The following is a GGA-PBE calculation of a relaxed CoPbAu2 crystal, from Alexandria via LeMat-Bulk.

POSCAR file:
```
CoPbAu2
1.0
3.399 0.000 0.000
0.000 3.399 0.000
0.000 0.000 6.641
Co Pb Au
1 1 2
Direct
0.000 0.000 0.000
0.500 0.500 0.278
0.000 0.000 0.580
0.500 0.500 0.821
```

Computed properties:
Final energy = -4.051 eV/atom
N(E_F) = 4.19 states/eV/cell
DFT formation energy = 1.165 eV/f.u.
Calculated density = 14.28 g cm⁻³
V = 77 Å³/cell

Record 4
The following is a GGA-PBE calculation of a relaxed NaTlPt4 crystal, from Alexandria via LeMat-Bulk.

POSCAR file:
```
NaTlPt4
1.0
0.000 3.825 3.825
3.825 0.000 3.825
3.825 3.825 0.000
Na Tl Pt
1 1 4
Direct
0.000 0.000 0.000
0.250 0.250 0.250
0.125 0.625 0.625
0.625 0.125 0.625
0.625 0.625 0.125
0.625 0.625 0.625
```

Computed properties:
Final energy = -4.860 eV/atom
N(E_F) = 5.02 states/eV/cell
DFT formation energy = -1.312 eV/f.u.
Calculated density = 14.96 g cm⁻³
V = 112 Å³/cell

Record 5
The following is a GGA-PBE calculation of a relaxed Na2SrGaBi2 crystal, from Alexandria via LeMat-Bulk.

POSCAR file:
```
Na2SrGaBi2
1.0
5.293 0.000 0.000
0.000 8.971 0.000
0.000 0.000 8.047
Na Sr Ga Bi
4 2 2 4
Direct
0.000 0.078 0.000
0.000 0.922 0.500
0.500 0.152 0.327
0.500 0.848 0.827
0.500 0.467 0.005
0.500 0.533 0.505
0.000 0.311 0.655
0.000 0.689 0.155
0.000 0.364 0.275
0.000 0.636 0.775
0.500 0.186 0.723
0.500 0.814 0.223
```

Computed properties:
Final energy = -2.964 eV/atom
N(E_F) = 4.29 states/eV/cell
DFT formation energy = -2.675 eV/f.u.
Calculated density = 5.40 g cm⁻³
V = 382 Å³/cell